[1]
Crystalline Tl2SiIr at its relaxed geometry, computed with PBE.

- Formation energy from raw total energies: 0.7405 eV per atom
- N(E_F): 0.520 states/eV/atom

CIF file:
```
data_Tl2SiIr
_cell_length_a 4.488
_cell_length_b 4.488
_cell_length_c 4.038
_cell_angle_alpha 90.00
_cell_angle_beta 90.00
_cell_angle_gamma 90.00
_space_group_name_H-M_alt 'P 4/m m m'
_space_group_IT_number 123
_space_group_name_Hall '-P 4 2'
loop_
_atom_site_label
_atom_site_type_symbol
_atom_site_fract_x
_atom_site_fract_y
_atom_site_fract_z
Tl1 Tl 0.000 0.500 0.000
Si1 Si 0.000 0.000 0.500
Ir1 Ir 0.500 0.500 0.500
```

[2]
Crystalline Tl2SiIr at its relaxed geometry, computed with PBE.

- Formation energy from raw total energies: 0.6760 eV per atom
- N(E_F): 0.493 states/eV/atom

CIF file:
```
data_Tl2SiIr
_cell_length_a 10.100
_cell_length_b 3.527
_cell_length_c 4.591
_cell_angle_alpha 90.00
_cell_angle_beta 93.41
_cell_angle_gamma 90.00
_space_group_name_H-M_alt 'C 1 2/m 1'
_space_group_IT_number 12
loop_
_space_group_symop_operation_xyz
'x,y,z'
'-x,-y,-z'
'-x,y,-z'
'x,-y,z'
'x+1/2,y+1/2,z'
'-x+1/2,-y+1/2,-z'
'-x+1/2,y+1/2,-z'
'x+1/2,-y+1/2,z'
loop_
_atom_site_label
_atom_site_type_symbol
_atom_site_fract_x
_atom_site_fract_y
_atom_site_fract_z
Tl1 Tl 0.238 0.000 0.244
Si1 Si 0.000 0.000 0.500
Ir1 Ir 0.000 0.500 0.000
```